EuEr2Ni | Alexandria via LeMat-Bulk | GGA-PBE | optimized geometry; VASP energy = -25.19 eV/cell; ΔE_f = -0.002 eV/atom; calculated volume = 32.580 A^3/atom; M_tot = 1.939 μB/atom
1.0
1.912 1.104 10.290
-1.912 1.104 10.290
0.000 -2.208 10.290
Eu Er Ni
1 2 1
direct
0.000 0.000 0.000 Eu
0.119 0.119 0.119 Er
0.881 0.881 0.881 Er
0.500 0.500 0.500 Ni

***

PuZn3Ag | Alexandria via LeMat-Bulk | GGA-PBE | optimized geometry; VASP energy = -43.08 eV/cell; energy relative to the lowest polymorph listed for this composition = 0 kJ/mol of formula units; ΔE_f = -0.107 eV/atom; calculated volume = 17.935 A^3/atom; M_tot = 1.128 μB/atom
1.0
4.666 0.000 0.000
0.000 2.942 0.000
0.000 0.000 13.065
Pu Zn Ag
2 6 2
direct
0.250 0.000 0.156 Pu
0.750 0.000 0.844 Pu
0.250 0.000 0.566 Zn
0.250 0.500 0.737 Zn
0.250 0.500 0.948 Zn
0.750 0.000 0.434 Zn
0.750 0.500 0.052 Zn
0.750 0.500 0.263 Zn
0.250 0.500 0.384 Ag
0.750 0.500 0.616 Ag

***

LaNd2HoIn4 | Alexandria via LeMat-Bulk | GGA-PBE | optimized geometry; VASP energy = -33.83 eV/cell; ΔE_f = -0.480 eV/atom; calculated volume = 28.866 A^3/atom; M_tot = 0.000 μB/atom
1.0
2.728 1.575 8.956
-2.728 1.575 8.956
0.000 -3.150 8.956
La Nd Ho In
1 2 1 4
direct
0.000 0.000 0.000 La
0.249 0.249 0.249 Nd
0.751 0.751 0.751 Nd
0.500 0.500 0.500 Ho
0.127 0.127 0.127 In
0.377 0.377 0.377 In
0.623 0.623 0.623 In
0.873 0.873 0.873 In

***

CaGa2Sn2 | Alexandria via LeMat-Bulk | GGA-PBE | optimized geometry; VASP energy = -34.42 eV/cell; energy relative to the lowest polymorph listed for this composition = 21 kJ/mol of formula units; ΔE_f = -0.230 eV/atom; calculated volume = 24.362 A^3/atom; M_tot = 0.000 μB/atom
1.0
8.077 0.000 0.000
0.000 8.077 0.000
0.000 0.000 3.735
Ca Ga Sn
2 4 4
direct
0.000 0.000 0.000 Ca
0.500 0.500 0.000 Ca
0.124 0.376 0.000 Ga
0.376 0.876 0.000 Ga
0.624 0.124 0.000 Ga
0.876 0.624 0.000 Ga
0.167 0.667 0.500 Sn
0.333 0.167 0.500 Sn
0.667 0.833 0.500 Sn
0.833 0.333 0.500 Sn

***

AgSbRh2 | Alexandria via LeMat-Bulk | GGA-PBE | optimized geometry; VASP energy = -22.33 eV/cell; energy relative to the lowest polymorph listed for this composition = 0 kJ/mol of formula units; ΔE_f (raw) = -15.7 kJ per mole of atoms; calculated volume = 16.421 A^3/atom; M_tot = 0.000 μB/atom
1.0
0.000 3.202 3.202
3.202 0.000 3.202
3.202 3.202 0.000
Ag Sb Rh
1 1 2
direct
0.000 0.000 0.000 Ag
0.500 0.500 0.500 Sb
0.250 0.250 0.250 Rh
0.750 0.750 0.750 Rh

***

Yb3Co8Sn4 | Alexandria via LeMat-Bulk | GGA-PBE | optimized geometry; VASP energy = -162.02 eV/cell; ΔE_f = -0.238 eV/atom; calculated volume = 17.168 A^3/atom; M_tot = 0.515 μB/atom
1.0
8.894 0.000 0.000
-4.447 7.703 0.000
0.000 0.000 7.518
Yb Co Sn
6 16 8
direct
0.055 0.527 0.000 Yb
0.473 0.527 0.000 Yb
0.473 0.945 0.000 Yb
0.527 0.055 0.500 Yb
0.527 0.473 0.500 Yb
0.945 0.473 0.500 Yb
0.000 0.000 0.280 Co
0.000 0.000 0.780 Co
0.096 0.193 0.027 Co
0.096 0.904 0.027 Co
0.157 0.315 0.333 Co
0.157 0.843 0.333 Co
0.193 0.096 0.527 Co
0.315 0.157 0.833 Co
0.333 0.667 0.666 Co
0.667 0.333 0.166 Co
0.685 0.843 0.333 Co
0.807 0.904 0.027 Co
0.843 0.157 0.833 Co
0.843 0.685 0.833 Co
0.904 0.096 0.527 Co
0.904 0.807 0.527 Co
0.172 0.344 0.707 Sn
0.172 0.828 0.707 Sn
0.333 0.667 0.320 Sn
0.344 0.172 0.207 Sn
0.656 0.828 0.707 Sn
0.667 0.333 0.820 Sn
0.828 0.172 0.207 Sn
0.828 0.656 0.207 Sn

***

La3AsSeCl | Alexandria via LeMat-Bulk | GGA-PBE | optimized geometry; VASP energy = -68.79 eV/cell; ΔE_f (raw) = -154.9 kJ per mole of atoms; calculated volume = 32.428 A^3/atom; M_tot = 0.189 μB/atom
1.0
8.761 0.000 0.000
0.000 4.271 0.000
-0.569 0.000 10.401
La As Se Cl
6 2 2 2
direct
0.116 0.250 0.355 La
0.164 0.250 0.929 La
0.377 0.750 0.636 La
0.623 0.250 0.364 La
0.836 0.750 0.071 La
0.884 0.750 0.645 La
0.131 0.250 0.646 As
0.869 0.750 0.354 As
0.370 0.750 0.342 Se
0.630 0.250 0.658 Se
0.381 0.750 0.917 Cl
0.619 0.250 0.083 Cl

***

YSeF3 | Alexandria via LeMat-Bulk | GGA-PBE | optimized geometry; VASP energy = -20.99 eV/cell; energy relative to the lowest polymorph listed for this composition = 781 kJ/mol of formula units; ΔE_f (raw) = -104.7 kJ per mole of atoms; calculated volume = 18.664 A^3/atom; M_tot = 0.000 μB/atom
1.0
4.536 0.000 0.000
0.000 4.536 0.000
0.000 0.000 4.536
Y Se F
1 1 3
direct
0.000 0.000 0.000 Y
0.500 0.500 0.500 Se
0.000 0.500 0.500 F
0.500 0.000 0.500 F
0.500 0.500 0.000 F

***

Sc2AgPt | Alexandria via LeMat-Bulk | GGA-PBE | optimized geometry; VASP energy = -23.76 eV/cell; ΔE_f = -0.550 eV/atom; calculated volume = 18.060 A^3/atom; M_tot = 0.000 μB/atom
1.0
0.000 3.306 3.306
3.306 0.000 3.306
3.306 3.306 0.000
Sc Ag Pt
2 1 1
direct
0.000 0.000 0.000 Sc
0.250 0.250 0.250 Sc
0.750 0.750 0.750 Ag
0.500 0.500 0.500 Pt

***

SiHgHI2 | Alexandria via LeMat-Bulk | GGA-PBE | optimized geometry; VASP energy = -9.96 eV/cell; calculated volume = 33.463 A^3/atom; M_tot = 0.200 μB/atom
1.0
5.674 0.000 0.000
0.000 5.674 0.000
0.000 0.000 5.196
Si Hg H I
1 1 1 2
direct
0.000 0.000 0.000 Si
0.000 0.000 0.500 Hg
0.500 0.500 0.500 H
0.000 0.500 0.000 I
0.500 0.000 0.000 I

***

BaMgZn4 | Alexandria via LeMat-Bulk | GGA-PBE | optimized geometry; VASP energy = -8.99 eV/cell; energy relative to the lowest polymorph listed for this composition = 6 kJ/mol of formula units; ΔE_f = -0.063 eV/atom; calculated volume = 23.232 A^3/atom; M_tot = 0.000 μB/atom
1.0
-2.091 4.003 4.164
2.091 -4.003 4.164
2.091 4.003 -4.164
Ba Mg Zn
1 1 4
direct
0.000 0.000 0.000 Ba
0.500 0.000 0.500 Mg
0.145 0.342 0.802 Zn
0.460 0.658 0.802 Zn
0.540 0.342 0.198 Zn
0.855 0.658 0.198 Zn

***

Which formula does entry 6 have? Yb3Co8Sn4